1.
! PBE ZrBeTe4, optimized geometry; values from VASP
! uncorrected energy	-3.2480	eV/atom
! raw formation energy	0.8922	eV per atom
! calculated volume	28.10	Å³ per atom
&SYSTEM
  ibrav = 0, nat = 6, ntyp = 3
/
ATOMIC_SPECIES
Zr 91.22 Zr.upf
Be 9.01 Be.upf
Te 127.60 Te.upf
CELL_PARAMETERS angstrom
0.000 4.385 4.385
4.385 0.000 4.385
4.385 4.385 0.000
ATOMIC_POSITIONS crystal
Zr 0.000 0.000 0.000
Be 0.750 0.750 0.750
Te 0.375 0.375 0.375
Te 0.375 0.375 0.876
Te 0.375 0.876 0.375
Te 0.876 0.375 0.375


2.
! PBE PtRhN, optimized geometry; values from VASP
! uncorrected energy	-7.0309	eV/atom
! raw formation energy	0.2083	eV per atom
! energy relative to the lowest polymorph listed for this composition	36	meV per atom
! calculated volume	12.67	Å³ per atom
&SYSTEM
  ibrav = 0, nat = 6, ntyp = 3
/
ATOMIC_SPECIES
Pt 195.08 Pt.upf
Rh 102.91 Rh.upf
N 14.01 N.upf
CELL_PARAMETERS angstrom
2.908 0.000 0.000
-1.454 2.518 0.000
0.000 0.000 10.379
ATOMIC_POSITIONS crystal
Pt 0.333 0.667 0.111
Pt 0.667 0.333 0.889
Rh 0.333 0.667 0.669
Rh 0.667 0.333 0.331
N 0.000 0.000 0.436
N 0.000 0.000 0.564